1.
Material: InFePt2
Method: DFT, PBE
State: relaxed

Output
symmetry: Pmmm
raw total energy: -6.09 eV/atom
formation enthalpy at 0 K: -272 meV per atom
total moment: 3.3 μB per cell
DOS(E_F): 2.60 states/eV/f.u.

The structure in extended XYZ format:
```
4
Lattice="-2.624 -1.945 1.929 2.099 -1.384 1.461 2.011 2.774 5.532" Properties=species:S:1:pos:R:3 pbc="T T T"
Pt 2.057 0.624 3.426
Pt 2.098 -1.312 1.531
Fe -0.284 -0.625 2.713
In 1.771 0.071 6.209
```

---

2.
Material: YAlCl6
Method: DFT, PBE
State: relaxed

Output
symmetry: C2/m
energy relative to the elements, uncorrected: -1.8204 eV/atom
raw total energy: -4.48 eV/atom
total moment: 0.0 μB per cell
DOS(E_F): 0.00 states/eV/f.u.

The structure in extended XYZ format:
```
8
Lattice="7.000 -0.969 -0.171 -3.504 6.137 -0.171 -0.811 -1.199 6.063" Properties=species:S:1:pos:R:3 pbc="T T T"
Cl 0.318 0.469 4.374
Cl 3.313 1.917 4.127
Cl -0.627 2.053 1.594
Cl 0.547 3.788 4.127
Cl 2.368 3.500 1.347
Cl 2.139 0.181 1.594
Y 0.000 0.000 0.000
Al 1.343 1.985 2.860
```